[1]
DFT (PBE-GGA) results for a geometry-optimized TmTiBe4 structure.

POSCAR file:
```
TmTiBe4
1.0
4.7654 0.0000 0.0000
2.3827 4.1269 0.0000
2.3827 1.3756 3.8909
Be Tm Ti
4 1 1
Direct
0.6221 0.6221 0.1338
0.6221 0.1338 0.6221
0.6221 0.6221 0.6221
0.1338 0.6221 0.6221
0.0000 0.0000 0.0000
0.2500 0.2500 0.2500
```

Properties
Symmetry: F-43m, No. 216
Volume in Å³/f.u.: 77
Energy relative to the elements in eV per atom: 0.00



[2]
DFT (PBE-GGA) results for a geometry-optimized Pa3Tl3HgTe8 structure.

POSCAR file:
```
Pa3Tl3HgTe8
1.0
-5.5676 1.7433 6.7232
-1.5918 -6.8580 -5.4343
7.2899 -0.9000 6.2681
Pa Tl Hg Te
3 3 1 8
Direct
0.5000 0.0000 0.5000
0.5000 0.5000 0.5000
0.0000 0.5000 0.5000
0.0000 0.0000 0.0000
0.0000 0.5000 0.0000
0.5000 0.5000 0.0000
0.0000 0.0000 0.5000
0.2605 0.5211 0.2818
0.7395 0.4789 0.7183
0.7543 0.5087 0.2860
0.2457 0.4913 0.7140
0.7536 0.0318 0.2854
0.2464 0.9682 0.7146
0.2780 0.0318 0.2855
0.7220 0.9682 0.7145
```

Properties
Formation energy (no corrections) in eV/atom: -0.539
Symmetry: C2/m, No. 12
Volume in Å³/f.u.: 561



Question: Which of these has the lowest volume?
Answer: TmTiBe4



Question: Which value of volume does entry 1 give?
Answer: 77 Å³/f.u.



Repeat the first record exactly.
DFT (PBE-GGA) results for a geometry-optimized TmTiBe4 structure.

POSCAR file:
```
TmTiBe4
1.0
4.7654 0.0000 0.0000
2.3827 4.1269 0.0000
2.3827 1.3756 3.8909
Be Tm Ti
4 1 1
Direct
0.6221 0.6221 0.1338
0.6221 0.1338 0.6221
0.6221 0.6221 0.6221
0.1338 0.6221 0.6221
0.0000 0.0000 0.0000
0.2500 0.2500 0.2500
```

Properties
Symmetry: F-43m, No. 216
Volume in Å³/f.u.: 77
Energy relative to the elements in eV per atom: 0.00



Copy entry 1 word for word.
DFT (PBE-GGA) results for a geometry-optimized TmTiBe4 structure.

POSCAR file:
```
TmTiBe4
1.0
4.7654 0.0000 0.0000
2.3827 4.1269 0.0000
2.3827 1.3756 3.8909
Be Tm Ti
4 1 1
Direct
0.6221 0.6221 0.1338
0.6221 0.1338 0.6221
0.6221 0.6221 0.6221
0.1338 0.6221 0.6221
0.0000 0.0000 0.0000
0.2500 0.2500 0.2500
```

Properties
Symmetry: F-43m, No. 216
Volume in Å³/f.u.: 77
Energy relative to the elements in eV per atom: 0.00